[1]
First-principles (PBE-GGA) data for a relaxed LiErTl2 crystal, as listed in Alexandria via LeMat-Bulk.

The calculation puts the density of states at the Fermi level at 1.9 states/eV/f.u. The calculated formation energy is -0.3003 eV per atom. The calculation puts the distance to the lowest polymorph of the same formula at 0.0000 eV/atom. Its raw total energy is -3.103 eV/atom.

It has space group P4/mmm (No. 123), with a = 5.069 Å, b = 5.069 Å, c = 3.822 Å, α = 90.00°, β = 90.00° and γ = 90.00°. Symmetry generates all atoms from Li at (0.000, 0.000, 0.000), Er at (0.500, 0.500, 0.000) and Tl at (0.000, 0.500, 0.500).

[2]
First-principles (PBE-GGA) data for a relaxed YTmAlTl crystal, as listed in Alexandria via LeMat-Bulk.

The calculation puts the density of states at the Fermi level at 1.4 states/eV/f.u. The calculated formation energy is -0.3327 eV per atom. The calculation puts the distance to the lowest polymorph of the same formula at 0.0269 eV/atom. Its raw total energy is -4.594 eV/atom.

It has space group F-43m (No. 216), with a = 7.382 Å, b = 7.382 Å, c = 7.382 Å, α = 90.00°, β = 90.00° and γ = 90.00°. Symmetry generates all atoms from Y at (0.000, 0.000, 0.000), Tm at (0.000, 0.000, 0.500), Al at (0.250, 0.250, 0.250) and Tl at (0.250, 0.250, 0.750).

[3]
First-principles (PBE-GGA) data for a relaxed Mg2MoRu crystal, as listed in Alexandria via LeMat-Bulk.

The calculation puts the density of states at the Fermi level at 3.6 states/eV/f.u. The calculated formation energy is 0.2624 eV per atom. The calculation puts the distance to the lowest polymorph of the same formula at 0.2767 eV/atom. Its raw total energy is -5.562 eV/atom.

It has space group Cmmm (No. 65), with a = 3.321 Å, b = 4.327 Å, c = 9.055 Å, α = 90.00°, β = 90.00° and γ = 90.00°. Symmetry generates all atoms from Mg at (0.000, 0.000, 0.239), Mo at (0.000, 0.500, 0.500) and Ru at (0.000, 0.500, 0.000).

no.,V (Å³ per atom)
1,24.5
2,25.1
3,16.3